This record from OQMD describes crystalline La2TbMg3Pt3 at its relaxed geometry. The functional is PBE.

Cell and atoms, written as POSCAR:
```
La2TbMg3Pt3
1.0
4.142 0.000 0.000
0.000 6.571 3.751
0.000 -6.571 3.751
La Tb Mg Pt
2 1 3 3
Direct
0.000 0.208 0.792
0.000 0.792 0.208
0.000 0.616 0.616
0.500 0.213 0.447
0.500 0.447 0.213
0.500 0.964 0.964
0.000 0.216 0.216
0.500 0.544 0.869
0.500 0.869 0.544
```

Values from the calculation:
* symmetry: Amm2, No. 38
* energy: -5.07 eV/atom